(1)
DFT (PBE-GGA) results for a geometry-optimized V2Ni8Mo structure.

a b c (Å): 7.010 7.010 4.344
angles (deg): 108.02 108.02 124.40
Atoms (fractional coordinates):
V  0.181  0.819  0.000
V  0.819  0.181  0.000
Ni  0.000  0.000  0.248
Ni  0.000  0.000  0.752
Ni  0.129  0.400  0.764
Ni  0.301  0.699  0.500
Ni  0.400  0.129  0.764
Ni  0.600  0.871  0.236
Ni  0.699  0.301  0.500
Ni  0.871  0.600  0.236
Mo  0.500  0.500  0.500

Output
Total moment, μB per atom: 0.000
E_form, eV per atom: 0.0309
Energy, eV/f.u.: -74.98
Calculated density, g/cm³: 8.41

---

(2)
DFT (PBE-GGA) results for a geometry-optimized PuHfMg structure.

a b c (Å): 3.187 3.187 8.165
angles (deg): 90.00 90.00 120.00
Atoms (fractional coordinates):
Pu  0.000  0.000  0.000
Hf  0.667  0.333  0.320
Mg  0.333  0.667  0.645

Output
Total moment, μB per atom: 1.782
E_form, eV per atom: 0.1765
Energy, eV/f.u.: -25.35
Energy above the lowest structure with this stoichiometry, meV/atom: 86.7
Calculated density, g/cm³: 10.33

---

(3)
DFT (PBE-GGA) results for a geometry-optimized Y3CdO structure.

a b c (Å): 7.926 3.731 8.610
angles (deg): 90.00 90.00 90.00
Atoms (fractional coordinates):
Y  0.017  0.000  0.214
Y  0.250  0.500  0.503
Y  0.483  0.000  0.214
Y  0.517  0.000  0.786
Y  0.750  0.500  0.497
Y  0.983  0.000  0.786
Cd  0.250  0.500  0.962
Cd  0.750  0.500  0.038
O  0.250  0.000  0.354
O  0.750  0.000  0.646

Output
Energy relative to the elements, uncorrected, kJ/mol of formula units: -602.5
Total moment, μB per atom: 0.000
Energy, eV/f.u.: -31.51
Energy above the lowest structure with this stoichiometry, meV/atom: 88.1
Calculated density, g/cm³: 5.15

---

(4)
DFT (PBE-GGA) results for a geometry-optimized La5Pm6Er2 structure.

a b c (Å): 11.839 21.092 3.669
angles (deg): 90.00 90.00 90.00
Atoms (fractional coordinates):
La  0.000  0.000  0.000
La  0.085  0.271  0.000
La  0.197  0.551  0.000
La  0.303  0.051  0.000
La  0.415  0.771  0.000
La  0.500  0.500  0.000
La  0.585  0.229  0.000
La  0.697  0.949  0.000
La  0.803  0.449  0.000
La  0.915  0.729  0.000
Pm  0.063  0.418  0.500
Pm  0.085  0.130  0.500
Pm  0.173  0.858  0.000
Pm  0.327  0.358  0.000
Pm  0.415  0.630  0.500
Pm  0.437  0.918  0.500
Pm  0.563  0.082  0.500
Pm  0.585  0.370  0.500
Pm  0.673  0.642  0.000
Pm  0.827  0.142  0.000
Pm  0.915  0.870  0.500
Pm  0.937  0.582  0.500
Er  0.169  0.709  0.500
Er  0.331  0.209  0.500
Er  0.669  0.791  0.500
Er  0.831  0.291  0.500

Output
Total moment, μB per atom: 0.000
E_form, eV per atom: 0.0851
Energy, eV/f.u.: -61.16
Calculated density, g/cm³: 6.88

---

(5)
DFT (PBE-GGA) results for a geometry-optimized Hg2SeBr structure.

a b c (Å): 8.327 8.327 8.327
angles (deg): 134.63 134.63 66.10
Atoms (fractional coordinates):
Hg  0.078  0.625  0.953
Hg  0.375  0.328  0.453
Hg  0.672  0.125  0.047
Hg  0.875  0.922  0.547
Se  0.000  0.000  0.000
Se  0.750  0.250  0.500
Br  0.250  0.750  0.500
Br  0.500  0.500  0.000

Output
Energy relative to the elements, uncorrected, kJ/mol of formula units: -64.8
Total moment, μB per atom: 0.000
Energy, eV/f.u.: -6.43
Energy above the lowest structure with this stoichiometry, meV/atom: 86.4
Calculated density, g/cm³: 6.46

---

(6)
DFT (PBE-GGA) results for a geometry-optimized Ni2PbCl structure.

a b c (Å): 7.709 7.709 7.709
angles (deg): 26.38 26.38 26.38
Atoms (fractional coordinates):
Ni  0.000  0.000  0.000
Ni  0.278  0.278  0.278
Pb  0.747  0.747  0.747
Cl  0.557  0.557  0.557

Output
Energy relative to the elements, uncorrected, kJ/mol of formula units: 40.3
Total moment, μB per atom: 0.286
Energy, eV/f.u.: -16.70
Energy above the lowest structure with this stoichiometry, meV/atom: 54.7
Calculated density, g/cm³: 7.50